DFT (PBE) results for crystalline YTaRe2 at its relaxed geometry.

* energy relative to the elements: 0.129 eV/atom

Structure (POSCAR):
```
YTaRe2
1.0
-1.610 2.347 4.816
1.610 -2.347 4.816
1.610 2.347 -4.816
Y Ta Re
1 1 2
direct
0.000 0.000 0.000
0.730 0.230 0.500
0.264 0.764 0.500
0.489 0.489 0.000
```


DFT (PBE) results for crystalline Na4La3AsO8 at its relaxed geometry.

* uncorrected formation energy: -2.2417 eV per atom

Structure (POSCAR):
```
Na4La3AsO8
1.0
5.926 -3.578 0.000
5.926 3.578 0.000
-4.051 0.000 5.787
Na La As O
4 3 1 8
direct
0.000 0.000 0.000
0.000 0.500 0.500
0.500 0.000 0.500
0.500 0.500 0.000
0.000 0.000 0.500
0.000 0.500 0.000
0.500 0.000 0.000
0.500 0.500 0.500
0.244 0.244 0.768
0.260 0.733 0.277
0.267 0.267 0.251
0.267 0.740 0.723
0.733 0.260 0.277
0.733 0.733 0.749
0.740 0.267 0.723
0.756 0.756 0.232
```


DFT (PBE) results for crystalline CoAg2Ru at its relaxed geometry.

* energy relative to the elements: 0.400 eV/atom
* ΔE to the lowest computed polymorph: 0.079 eV per atom

Structure (POSCAR):
```
CoAg2Ru
1.0
1.416 -2.319 0.000
1.416 2.319 0.000
0.000 0.000 9.418
Co Ag Ru
1 2 1
direct
0.000 0.000 0.000
0.000 0.000 0.520
0.500 0.500 0.248
0.500 0.500 0.785
```


DFT (PBE) results for crystalline CaLaRhAu at its relaxed geometry.

* energy relative to the elements: -0.743 eV/atom

Structure (POSCAR):
```
CaLaRhAu
1.0
4.281 0.000 0.000
0.000 2.007 5.778
0.000 -2.007 5.778
Ca La Rh Au
1 1 1 1
direct
0.000 0.000 0.000
0.500 0.720 0.720
0.000 0.268 0.268
0.500 0.439 0.439
```


DFT (PBE) results for crystalline WBr4 at its relaxed geometry.

* uncorrected formation energy: -0.2935 eV per atom

Structure (POSCAR):
```
WBr4
1.0
-3.530 3.530 4.916
3.530 -3.530 4.916
3.530 3.530 -4.916
W Br
1 4
direct
0.000 0.000 0.000
0.059 0.664 0.000
0.336 0.336 0.394
0.664 0.059 0.000
0.941 0.941 0.606
```


DFT (PBE) results for crystalline KPrAgBr6 at its relaxed geometry.

* uncorrected formation energy: -1.2564 eV per atom

Structure (POSCAR):
```
KPrAgBr6
1.0
7.378 0.000 0.000
-3.689 6.389 0.000
0.000 0.000 14.576
K Pr Ag Br
2 2 2 12
direct
0.000 0.000 0.000
0.000 0.000 0.500
0.333 0.667 0.250
0.667 0.333 0.750
0.333 0.667 0.750
0.667 0.333 0.250
0.013 0.379 0.635
0.013 0.635 0.865
0.365 0.379 0.865
0.365 0.987 0.635
0.379 0.013 0.135
0.379 0.365 0.365
0.621 0.635 0.635
0.621 0.987 0.865
0.635 0.013 0.365
0.635 0.621 0.135
0.987 0.365 0.135
0.987 0.621 0.365
```


DFT (PBE) results for crystalline ZnNiIN2 at its relaxed geometry.

* uncorrected formation energy: 1.2141 eV per atom
* ΔE to the lowest computed polymorph: 0.000 eV per atom

Structure (POSCAR):
```
ZnNiIN2
1.0
3.699 0.000 0.000
0.000 3.699 0.000
0.000 0.000 7.003
Zn Ni I N
1 1 1 2
direct
0.000 0.000 0.000
0.500 0.500 0.500
0.500 0.500 0.000
0.000 0.500 0.500
0.500 0.000 0.500
```


DFT (PBE) results for crystalline AcZrSb2O8 at its relaxed geometry.

* uncorrected formation energy: -2.0866 eV per atom

Structure (POSCAR):
```
AcZrSb2O8
1.0
-3.718 3.718 3.461
3.718 -3.718 3.461
3.718 3.718 -3.461
Ac Zr Sb O
1 1 2 8
direct
0.000 0.000 0.000
0.750 0.250 0.500
0.250 0.750 0.500
0.500 0.500 0.000
0.048 0.374 0.326
0.048 0.721 0.674
0.105 0.315 0.790
0.279 0.952 0.326
0.525 0.315 0.210
0.626 0.952 0.674
0.685 0.475 0.790
0.685 0.895 0.210
```


DFT (PBE) results for crystalline TmPaCo2 at its relaxed geometry.

* energy relative to the elements: -0.401 eV/atom
* ΔE to the lowest computed polymorph: 0.000 eV per atom

Structure (POSCAR):
```
TmPaCo2
1.0
5.120 0.000 0.000
0.000 4.287 0.000
-2.366 0.000 6.698
Tm Pa Co
2 2 4
direct
0.243 0.250 0.437
0.757 0.750 0.563
0.195 0.250 0.907
0.805 0.750 0.093
0.311 0.750 0.150
0.338 0.750 0.760
0.662 0.250 0.240
0.689 0.250 0.850
```


DFT (PBE) results for crystalline Tb2PrTh4 at its relaxed geometry.

* energy relative to the elements: 0.289 eV/atom

Structure (POSCAR):
```
Tb2PrTh4
1.0
9.374 0.000 0.000
0.000 9.374 0.000
0.000 0.000 5.568
Tb Pr Th
4 2 8
direct
0.186 0.186 0.000
0.314 0.686 0.500
0.686 0.314 0.500
0.814 0.814 0.000
0.000 0.000 0.500
0.500 0.500 0.000
0.119 0.624 0.000
0.124 0.381 0.500
0.376 0.881 0.000
0.381 0.124 0.500
0.619 0.876 0.500
0.624 0.119 0.000
0.876 0.619 0.500
0.881 0.376 0.000
```


DFT (PBE) results for crystalline TiCoTcMo at its relaxed geometry.

* energy relative to the elements: -0.187 eV/atom

Structure (POSCAR):
```
TiCoTcMo
1.0
0.000 3.062 3.062
3.062 0.000 3.062
3.062 3.062 0.000
Ti Co Tc Mo
1 1 1 1
direct
0.000 0.000 0.000
0.750 0.750 0.750
0.250 0.250 0.250
0.500 0.500 0.500
```


DFT (PBE) results for crystalline Ac2Pm2Ge3 at its relaxed geometry.

* energy relative to the elements: -0.579 eV/atom

Structure (POSCAR):
```
Ac2Pm2Ge3
1.0
4.300 0.000 0.000
-2.150 7.103 0.000
-0.011 -1.292 7.870
Ac Pm Ge
2 2 3
direct
0.129 0.256 0.366
0.871 0.744 0.634
0.369 0.737 0.095
0.631 0.263 0.905
0.000 0.000 0.000
0.236 0.472 0.749
0.764 0.528 0.251
```